one:
## RuSe3 (PBE)

Data for a relaxed RuSe3 crystal.

Properties
The value obtained for the spin magnetization is 0.00 Bohr magnetons per cell. The crystal system is tetragonal.

Unit cell a=4.698 b=4.698 c=3.159 alpha=90.00 beta=90.00 gamma=90.00
Space group P4/mmm (No. 123)
Symmetry-distinct sites (fractional):
Ru 0.000 0.000 0.000 x1
Se 0.000 0.500 0.500 x2
Se 0.500 0.500 0.000 x1

=====

two:
## RuSe3 (PBE)

Data for a relaxed RuSe3 crystal.

Properties
The value obtained for the spin magnetization is 0.00 Bohr magnetons per cell. The crystal system is monoclinic.

Unit cell a=7.130 b=3.023 c=7.872 alpha=90.00 beta=98.67 gamma=90.00
Space group C2/m (No. 12)
Symmetry-distinct sites (fractional):
Ru 0.000 0.000 0.000 x2
Se 0.000 0.500 0.500 x2
Se 0.173 0.500 0.820 x4

=====

three:
## RuSe3 (PBE)

Data for a relaxed RuSe3 crystal.

Properties
The value obtained for the spin magnetization is 0.00 Bohr magnetons per cell. The crystal system is orthorhombic.

Unit cell a=3.022 b=4.913 c=10.892 alpha=90.00 beta=90.00 gamma=90.00
Space group Cmmm (No. 65)
Symmetry-distinct sites (fractional):
Ru 0.000 0.000 0.000 x2
Se 0.000 0.000 0.500 x2
Se 0.000 0.500 0.188 x4

=====

Of them, two has the highest stability.

=====

one:
## RuSe5 (PBE)

Data for a relaxed RuSe5 crystal.

Properties
The value obtained for the spin magnetization is 0.00 Bohr magnetons per cell. The crystal system is orthorhombic.

Unit cell a=5.302 b=3.707 c=13.143 alpha=90.00 beta=90.00 gamma=90.00
Space group Amm2 (No. 38)
Symmetry-distinct sites (fractional):
Ru 0.000 0.000 0.000 x2
Se 0.000 0.000 0.378 x2
Se 0.000 0.000 0.632 x2
Se 0.500 0.000 0.019 x2
Se 0.500 0.000 0.312 x2
Se 0.500 0.000 0.663 x2

=====

two:
## RuSe5 (PBE)

Data for a relaxed RuSe5 crystal.

Properties
The value obtained for the spin magnetization is 0.00 Bohr magnetons per cell. The crystal system is monoclinic.

Unit cell a=14.153 b=3.560 c=7.820 alpha=90.00 beta=122.13 gamma=90.00
Space group Cm (No. 8)
Symmetry-distinct sites (fractional):
Ru 0.000 0.000 0.000 x2
Se 0.065 0.000 0.363 x2
Se 0.147 0.500 0.059 x2
Se 0.212 0.500 0.546 x2
Se 0.398 0.000 0.062 x2
Se 0.477 0.000 0.747 x2

=====

Of them, two has the highest stability.

=====

one:
## Sm2RuSe (PBE)

Data for a relaxed Sm2RuSe crystal.

Properties
The value obtained for the spin magnetization is 0.00 Bohr magnetons per cell. The crystal system is tetragonal.

Unit cell a=3.523 b=3.523 c=7.363 alpha=90.00 beta=90.00 gamma=90.00
Space group P4/mmm (No. 123)
Symmetry-distinct sites (fractional):
Sm 0.000 0.000 0.235 x2
Ru 0.500 0.500 0.000 x1
Se 0.500 0.500 0.500 x1

=====

two:
## Sm2RuSe (PBE)

Data for a relaxed Sm2RuSe crystal.

Properties
The value obtained for the spin magnetization is 0.72 Bohr magnetons per cell. The crystal system is trigonal.

Unit cell a=3.7194 b=3.7194 c=26.9053 alpha=90.00 beta=90.00 gamma=120.00
Space group R-3m (No. 166, hexagonal axes)
Symmetry-distinct sites (fractional):
Sm 0.0000 0.0000 0.0939 x6
Ru 0.0000 0.0000 0.0000 x3
Se 0.0000 0.0000 0.5000 x3

=====

Of them, one has the highest stability.

=====

one:
## SnRu3Se (PBE)

Data for a relaxed SnRu3Se crystal.

Properties
The value obtained for the spin magnetization is 5.76 Bohr magnetons per cell. The crystal system is cubic.

Unit cell a=4.930 b=4.930 c=4.930 alpha=90.00 beta=90.00 gamma=90.00
Space group Pm-3m (No. 221)
Symmetry-distinct sites (fractional):
Sn 0.000 0.000 0.000 x1
Ru 0.000 0.000 0.500 x3
Se 0.500 0.500 0.500 x1

=====

two:
## SnRu3Se (PBE)

Data for a relaxed SnRu3Se crystal.

Properties
The value obtained for the spin magnetization is 0.00 Bohr magnetons per cell. The crystal system is cubic.

Unit cell a=4.553 b=4.553 c=4.553 alpha=90.00 beta=90.00 gamma=90.00
Space group Pm-3m (No. 221)
Symmetry-distinct sites (fractional):
Sn 0.000 0.000 0.000 x1
Ru 0.000 0.500 0.500 x3
Se 0.500 0.500 0.500 x1

=====

Of them, two has the highest stability.

=====

one:
## TaRuSe2 (PBE)

Data for a relaxed TaRuSe2 crystal.

Properties
The value obtained for the spin magnetization is 0.00 Bohr magnetons per cell. The crystal system is tetragonal.

Unit cell a=3.939 b=3.939 c=8.579 alpha=90.00 beta=90.00 gamma=90.00
Space group I-4m2 (No. 119)
Symmetry-distinct sites (fractional):
Ta 0.000 0.000 0.000 x2
Ru 0.000 0.500 0.750 x2
Se 0.000 0.000 0.500 x2
Se 0.000 0.500 0.250 x2

=====

two:
## TaRuSe2 (PBE)

Data for a relaxed TaRuSe2 crystal.

Properties
The value obtained for the spin magnetization is 0.00 Bohr magnetons per cell. The crystal system is orthorhombic.

Unit cell a=3.164 b=4.349 c=9.681 alpha=90.00 beta=90.00 gamma=90.00
Space group Imm2 (No. 44)
Symmetry-distinct sites (fractional):
Ta 0.000 0.000 0.000 x2
Ru 0.000 0.500 0.764 x2
Se 0.000 0.000 0.478 x2
Se 0.000 0.500 0.258 x2

=====

Of them, two has the highest stability.

=====

one:
## TaRuSe2 (PBE)

Data for a relaxed TaRuSe2 crystal.

Properties
The value obtained for the spin magnetization is 0.54 Bohr magnetons per cell. The crystal system is tetragonal.

Unit cell a=3.489 b=3.489 c=7.088 alpha=90.00 beta=90.00 gamma=90.00
Space group P4mm (No. 99)
Symmetry-distinct sites (fractional):
Ta 0.000 0.000 0.000 x1
Ru 0.500 0.500 0.167 x1
Se 0.000 0.000 0.349 x1
Se 0.500 0.500 0.815 x1

=====

two:
## TaRuSe2 (PBE)

Data for a relaxed TaRuSe2 crystal.

Properties
The value obtained for the spin magnetization is 0.00 Bohr magnetons per cell. The crystal system is orthorhombic.

Unit cell a=5.323 b=6.222 c=8.634 alpha=90.00 beta=90.00 gamma=90.00
Space group Fmmm (No. 69)
Symmetry-distinct sites (fractional):
Ta 0.000 0.000 0.000 x4
Ru 0.000 0.000 0.500 x4
Se 0.000 0.250 0.250 x8

=====

Of them, one has the highest stability.